# NdHo2Mg3AgAu2 | the Open Quantum Materials Database | GGA-PBE | relaxed
data_NdHo2Mg3AgAu2
_cell_length_a 4.007
_cell_length_b 13.531
_cell_length_c 7.751
_cell_angle_alpha 90.00
_cell_angle_beta 90.00
_cell_angle_gamma 90.00
_symmetry_space_group_name_H-M 'A m m 2'
_symmetry_Int_Tables_number 38
_symmetry_space_group_name_Hall 'A 2 -2'
loop_
_atom_site_label
_atom_site_type_symbol
_atom_site_fract_x
_atom_site_fract_y
_atom_site_fract_z
_atom_site_occupancy
Nd1 Nd 0.000 0.000 0.000 1
Ho1 Ho 0.000 0.207 0.379 1
Mg1 Mg 0.500 0.000 0.339 1
Mg2 Mg 0.500 0.126 0.709 1
Ag1 Ag 0.000 0.000 0.582 1
Au1 Au 0.500 0.171 0.089 1
# E_tot in eV/atom: -3.649

# DyTlSb | the Open Quantum Materials Database | GGA-PBE | relaxed
data_DyTlSb
_cell_length_a 7.268
_cell_length_b 7.268
_cell_length_c 7.268
_cell_angle_alpha 90.00
_cell_angle_beta 90.00
_cell_angle_gamma 90.00
_symmetry_space_group_name_H-M 'F -4 3 m'
_symmetry_Int_Tables_number 216
_symmetry_space_group_name_Hall 'F -4 2 3'
loop_
_atom_site_label
_atom_site_type_symbol
_atom_site_fract_x
_atom_site_fract_y
_atom_site_fract_z
_atom_site_occupancy
Dy1 Dy 0.000 0.000 0.000 1
Tl1 Tl 0.250 0.250 0.250 1
Sb1 Sb 0.000 0.000 0.500 1
# Excess energy over the best structure of this formula in the dataset in eV per atom: 0.224

# NdGdTa | the Open Quantum Materials Database | GGA-PBE | relaxed
data_NdGdTa
_cell_length_a 7.115
_cell_length_b 7.115
_cell_length_c 7.115
_cell_angle_alpha 90.00
_cell_angle_beta 90.00
_cell_angle_gamma 90.00
_symmetry_space_group_name_H-M 'F -4 3 m'
_symmetry_Int_Tables_number 216
_symmetry_space_group_name_Hall 'F -4 2 3'
loop_
_atom_site_label
_atom_site_type_symbol
_atom_site_fract_x
_atom_site_fract_y
_atom_site_fract_z
_atom_site_occupancy
Nd1 Nd 0.000 0.000 0.000 1
Gd1 Gd 0.250 0.250 0.750 1
Ta1 Ta 0.250 0.250 0.250 1
# Energy of formation in meV/atom: 1333

# Na3LiTa2O6 | the Open Quantum Materials Database | GGA-PBE | relaxed
data_Na3LiTa2O6
_cell_length_a 5.214
_cell_length_b 9.162
_cell_length_c 5.751
_cell_angle_alpha 90.00
_cell_angle_beta 108.05
_cell_angle_gamma 90.00
_symmetry_space_group_name_H-M 'C 1 2/m 1'
_symmetry_Int_Tables_number 12
_symmetry_space_group_name_Hall '-C 2y'
loop_
_atom_site_label
_atom_site_type_symbol
_atom_site_fract_x
_atom_site_fract_y
_atom_site_fract_z
_atom_site_occupancy
Na1 Na 0.000 0.000 0.000 1
Na2 Na 0.000 0.344 0.000 1
Li1 Li 0.000 0.500 0.500 1
Ta1 Ta 0.000 0.176 0.500 1
O1 O 0.216 0.000 0.696 1
O2 O 0.241 0.327 0.724 1
# E_tot in eV/atom: -7.112

# FeAsIrOs | the Open Quantum Materials Database | GGA-PBE | relaxed
data_FeAsIrOs
_cell_length_a 6.110
_cell_length_b 6.110
_cell_length_c 6.110
_cell_angle_alpha 90.00
_cell_angle_beta 90.00
_cell_angle_gamma 90.00
_symmetry_space_group_name_H-M 'F -4 3 m'
_symmetry_Int_Tables_number 216
_symmetry_space_group_name_Hall 'F -4 2 3'
loop_
_atom_site_label
_atom_site_type_symbol
_atom_site_fract_x
_atom_site_fract_y
_atom_site_fract_z
_atom_site_occupancy
Fe1 Fe 0.000 0.000 0.000 1
As1 As 0.250 0.250 0.750 1
Ir1 Ir 0.250 0.250 0.250 1
Os1 Os 0.000 0.000 0.500 1
# Excess energy over the best structure of this formula in the dataset in eV per atom: 0.000

# TaCuHgB | the Open Quantum Materials Database | GGA-PBE | relaxed
data_TaCuHgB
_cell_length_a 6.281
_cell_length_b 6.281
_cell_length_c 6.281
_cell_angle_alpha 90.00
_cell_angle_beta 90.00
_cell_angle_gamma 90.00
_symmetry_space_group_name_H-M 'F -4 3 m'
_symmetry_Int_Tables_number 216
_symmetry_space_group_name_Hall 'F -4 2 3'
loop_
_atom_site_label
_atom_site_type_symbol
_atom_site_fract_x
_atom_site_fract_y
_atom_site_fract_z
_atom_site_occupancy
Ta1 Ta 0.000 0.000 0.000 1
Cu1 Cu 0.250 0.250 0.750 1
Hg1 Hg 0.250 0.250 0.250 1
B1 B 0.000 0.000 0.500 1
# Excess energy over the best structure of this formula in the dataset in eV per atom: 0.376

# Hf2AlTlCu2Pd2 | the Open Quantum Materials Database | GGA-PBE | relaxed
data_Hf2AlTlCu2Pd2
_cell_length_a 4.534
_cell_length_b 4.534
_cell_length_c 6.493
_cell_angle_alpha 90.00
_cell_angle_beta 90.00
_cell_angle_gamma 90.00
_symmetry_space_group_name_H-M 'P -4 m 2'
_symmetry_Int_Tables_number 115
_symmetry_space_group_name_Hall 'P -4 -2'
loop_
_atom_site_label
_atom_site_type_symbol
_atom_site_fract_x
_atom_site_fract_y
_atom_site_fract_z
_atom_site_occupancy
Hf1 Hf 0.000 0.000 0.000 1
Hf2 Hf 0.500 0.500 0.500 1
Al1 Al 0.000 0.000 0.500 1
Tl1 Tl 0.500 0.500 0.000 1
Cu1 Cu 0.000 0.500 0.268 1
Pd1 Pd 0.000 0.500 0.726 1
# E_tot in eV/atom: -5.887

# LaLu2P3 | the Open Quantum Materials Database | GGA-PBE | relaxed
data_LaLu2P3
_cell_length_a 4.0353
_cell_length_b 4.0353
_cell_length_c 9.8765
_cell_angle_alpha 90.00
_cell_angle_beta 90.00
_cell_angle_gamma 120.00
_symmetry_space_group_name_H-M 'P -3 m 1'
_symmetry_Int_Tables_number 164
_symmetry_space_group_name_Hall '-P 3 2"'
loop_
_atom_site_label
_atom_site_type_symbol
_atom_site_fract_x
_atom_site_fract_y
_atom_site_fract_z
_atom_site_occupancy
La1 La 0.0000 0.0000 0.0000 1
Lu1 Lu 0.3333 0.6667 0.3425 1
P1 P 0.0000 0.0000 0.5000 1
P2 P 0.3333 0.6667 0.8151 1
# E_tot in eV/atom: -6.589

no.,M_tot (μB per atom)
1,0.001
2,0.002
3,0.416
4,0.072
5,0.617
6,0.016
7,0.003
8,0.000